Compound: CrReTc
Source: Alexandria
Functional: PBE
Structure: optimized geometry

Cell: 5.0514 5.0514 5.0514 Å, 145.32 145.32 49.85°
Fractional positions:
1 Cr 0.9959 0.9959 0.0000
2 Re 0.3428 0.3428 0.0000
3 Tc 0.6613 0.6613 0.0000

Computed properties:
**Calculated volume**: 42 Å³/cell
**Formation enthalpy at 0 K**: 0.10 eV per atom